No. 1
Zn2CdInGe after structural relaxation, computed with PBE.

Cell: 4.908 4.908 5.646 Å, 90.00 90.00 90.00°
Atoms (fractional coordinates):
Zn  0.000  0.500  0.000
Zn  0.500  0.000  0.000
Cd  0.000  0.000  0.000
In  0.000  0.000  0.500
Ge  0.500  0.500  0.500

Results
raw total energy: -7.6 eV/f.u.
crystal system: tetragonal
space group: No. 123

---

No. 2
PmY5Tm2Th after structural relaxation, computed with PBE.

Cell: 11.013 11.013 9.741 Å, 90.00 90.00 149.78°
Atoms (fractional coordinates):
Pm  0.096  0.904  0.500
Pm  0.904  0.096  0.000
Y  0.028  0.972  0.181
Y  0.111  0.889  0.887
Y  0.196  0.804  0.213
Y  0.233  0.767  0.588
Y  0.486  0.514  0.909
Y  0.514  0.486  0.409
Y  0.767  0.233  0.088
Y  0.804  0.196  0.713
Y  0.889  0.111  0.387
Y  0.972  0.028  0.681
Tm  0.370  0.630  0.214
Tm  0.388  0.612  0.602
Tm  0.612  0.388  0.102
Tm  0.630  0.370  0.714
Th  0.311  0.689  0.900
Th  0.689  0.311  0.400

Results
raw total energy: -52.0 eV/f.u.
crystal system: orthorhombic
space group: No. 36

---

No. 3
Sr4SnAu3 after structural relaxation, computed with PBE.

Cell: 4.430 4.781 11.872 Å, 90.00 90.00 90.00°
Atoms (fractional coordinates):
Sr  0.000  0.000  0.000
Sr  0.000  0.500  0.275
Sr  0.500  0.000  0.490
Sr  0.500  0.500  0.776
Sn  0.000  0.000  0.709
Au  0.000  0.500  0.555
Au  0.500  0.000  0.211
Au  0.500  0.500  0.061

Results
raw total energy: -26.3 eV/f.u.
crystal system: orthorhombic
space group: No. 25

---

No. 4
HoAlO3 after structural relaxation, computed with PBE.

Cell: 5.686 5.686 5.686 Å, 54.85 54.85 54.85°
Atoms (fractional coordinates):
Ho  0.132  0.132  0.132
Ho  0.868  0.868  0.868
Al  0.345  0.345  0.345
Al  0.655  0.655  0.655
O  0.060  0.698  0.468
O  0.302  0.532  0.940
O  0.468  0.060  0.698
O  0.532  0.940  0.302
O  0.698  0.468  0.060
O  0.940  0.302  0.532

Results
crystal system: trigonal
space group: No. 148
raw formation energy: -3.1855 eV per atom

---

No. 5
CaHBr after structural relaxation, computed with PBE.

Cell: 5.404 5.404 5.404 Å, 43.01 43.01 43.01°
Atoms (fractional coordinates):
Ca  0.000  0.000  0.000
H  0.305  0.305  0.305
Br  0.795  0.795  0.795

Results
raw total energy: -10.7 eV/f.u.
crystal system: trigonal
space group: No. 160

---

No. 6
Ca3Zn3Hg after structural relaxation, computed with PBE.

Cell: 6.048 6.048 15.032 Å, 107.42 107.42 43.49°
Atoms (fractional coordinates):
Ca  0.033  0.033  0.382
Ca  0.111  0.111  0.925
Ca  0.245  0.245  0.227
Ca  0.755  0.755  0.773
Ca  0.889  0.889  0.075
Ca  0.967  0.967  0.618
Zn  0.379  0.379  0.459
Zn  0.402  0.402  0.924
Zn  0.468  0.468  0.774
Zn  0.532  0.532  0.226
Zn  0.598  0.598  0.076
Zn  0.621  0.621  0.541
Hg  0.257  0.257  0.610
Hg  0.743  0.743  0.390

Results
raw total energy: -12.2 eV/f.u.
crystal system: monoclinic
space group: No. 12

---

No. 7
InFe2Co2 after structural relaxation, computed with PBE.

Cell: 6.863 6.863 2.642 Å, 90.00 90.00 90.00°
Atoms (fractional coordinates):
In  0.000  0.000  0.000
In  0.500  0.500  0.000
Fe  0.171  0.329  0.500
Fe  0.329  0.829  0.500
Fe  0.671  0.171  0.500
Fe  0.829  0.671  0.500
Co  0.121  0.621  0.000
Co  0.379  0.121  0.000
Co  0.621  0.879  0.000
Co  0.879  0.379  0.000

Results
offset from the most stable computed form: 0.1003 eV/atom
crystal system: tetragonal
space group: No. 127

---

No. 8
Cs2CuI6Br after structural relaxation, computed with PBE.

Cell: 8.672 8.672 8.672 Å, 120.73 120.73 88.73°
Atoms (fractional coordinates):
Cs  0.250  0.750  0.500
Cs  0.750  0.250  0.500
Cu  0.000  0.000  0.000
I  0.212  0.212  0.424
I  0.212  0.788  0.000
I  0.275  0.275  0.000
I  0.725  0.725  0.000
I  0.788  0.212  0.000
I  0.788  0.788  0.576
Br  0.500  0.500  0.000

Results
crystal system: tetragonal
space group: No. 139
raw formation energy: -0.6397 eV per atom

---

No. 9
CuC after structural relaxation, computed with PBE.

Cell: 2.466 2.466 9.553 Å, 82.72 89.53 60.01°
Atoms (fractional coordinates):
Cu  0.000  0.000  0.000
Cu  0.405  0.183  0.233
C  0.538  0.955  0.618
C  0.871  0.289  0.618

Results
offset from the most stable computed form: 0.0006 eV/atom
crystal system: triclinic
space group: No. 1

---

No. 10
SrSiO3 after structural relaxation, computed with PBE.

Cell: 4.442 4.442 4.442 Å, 90.00 90.00 90.00°
Atoms (fractional coordinates):
Sr  0.000  0.000  0.000
Si  0.500  0.500  0.500
O  0.000  0.000  0.500
O  0.000  0.500  0.000
O  0.500  0.000  0.000

Results
crystal system: cubic
space group: No. 221
raw formation energy: 0.0192 eV per atom

---

No. 11
TlBi2Au after structural relaxation, computed with PBE.

Cell: 4.549 8.508 6.389 Å, 90.00 110.85 90.00°
Atoms (fractional coordinates):
Tl  0.056  0.250  0.113
Tl  0.944  0.750  0.887
Bi  0.365  0.040  0.725
Bi  0.365  0.460  0.725
Bi  0.635  0.540  0.275
Bi  0.635  0.960  0.275
Au  0.212  0.750  0.432
Au  0.788  0.250  0.568

Results
raw total energy: -13.5 eV/f.u.
crystal system: monoclinic
space group: No. 11

---

No. 12
Ca3H9Rh2 after structural relaxation, computed with PBE.

Cell: 6.849 6.849 6.849 Å, 76.69 76.69 76.69°
Atoms (fractional coordinates):
Ca  0.085  0.750  0.415
Ca  0.250  0.585  0.915
Ca  0.415  0.085  0.750
Ca  0.585  0.915  0.250
Ca  0.750  0.415  0.085
Ca  0.915  0.250  0.585
H  0.079  0.911  0.741
H  0.089  0.259  0.921
H  0.104  0.396  0.250
H  0.241  0.411  0.579
H  0.250  0.104  0.396
H  0.259  0.921  0.089
H  0.396  0.250  0.104
H  0.411  0.579  0.241
H  0.421  0.759  0.589
H  0.579  0.241  0.411
H  0.589  0.421  0.759
H  0.604  0.750  0.896
H  0.741  0.079  0.911
H  0.750  0.896  0.604
H  0.759  0.589  0.421
H  0.896  0.604  0.750
H  0.911  0.741  0.079
H  0.921  0.089  0.259
Rh  0.155  0.155  0.155
Rh  0.345  0.345  0.345
Rh  0.655  0.655  0.655
Rh  0.845  0.845  0.845

Results
raw total energy: -57.4 eV/f.u.
crystal system: trigonal
space group: No. 167

---

No. 13
Tb2B10Mo after structural relaxation, computed with PBE.

Cell: 5.880 11.558 4.084 Å, 90.00 90.00 90.00°
Atoms (fractional coordinates):
Tb  0.196  0.141  0.000
Tb  0.304  0.641  0.000
Tb  0.696  0.359  0.000
Tb  0.804  0.859  0.000
B  0.073  0.305  0.500
B  0.117  0.959  0.500
B  0.121  0.801  0.500
B  0.234  0.379  0.201
B  0.234  0.379  0.799
B  0.266  0.879  0.201
B  0.266  0.879  0.799
B  0.379  0.301  0.500
B  0.383  0.459  0.500
B  0.427  0.805  0.500
B  0.573  0.195  0.500
B  0.617  0.541  0.500
B  0.621  0.699  0.500
B  0.734  0.121  0.201
B  0.734  0.121  0.799
B  0.766  0.621  0.201
B  0.766  0.621  0.799
B  0.879  0.199  0.500
B  0.883  0.041  0.500
B  0.927  0.695  0.500
Mo  0.000  0.500  0.500
Mo  0.500  0.000  0.500

Results
raw total energy: -91.1 eV/f.u.
crystal system: orthorhombic
space group: No. 55

---

No. 14
LaSm2Ru after structural relaxation, computed with PBE.

Cell: 6.493 6.493 9.628 Å, 90.00 90.00 144.53°
Atoms (fractional coordinates):
La  0.083  0.917  0.750
La  0.917  0.083  0.250
Sm  0.355  0.645  0.572
Sm  0.355  0.645  0.928
Sm  0.645  0.355  0.072
Sm  0.645  0.355  0.428
Ru  0.258  0.742  0.250
Ru  0.742  0.258  0.750

Results
offset from the most stable computed form: 0.0214 eV/atom
crystal system: orthorhombic
space group: No. 63

---

No. 15
TbYMn after structural relaxation, computed with PBE.

Cell: 6.845 6.845 6.845 Å, 150.37 150.37 42.39°
Atoms (fractional coordinates):
Tb  0.000  0.000  0.000
Y  0.273  0.273  0.000
Mn  0.636  0.636  0.000

Results
raw total energy: -19.8 eV/f.u.
crystal system: tetragonal
space group: No. 107

---

No. 16
La3Tb2Pb4 after structural relaxation, computed with PBE.

Cell: 7.404 7.404 10.267 Å, 116.18 116.18 37.39°
Atoms (fractional coordinates):
La  0.000  0.000  0.000
La  0.374  0.374  0.302
La  0.626  0.626  0.698
Tb  0.321  0.321  0.652
Tb  0.679  0.679  0.348
Pb  0.068  0.068  0.409
Pb  0.302  0.302  0.941
Pb  0.698  0.698  0.059
Pb  0.932  0.932  0.591

Results
offset from the most stable computed form: 0.0492 eV/atom
crystal system: monoclinic
space group: No. 12

---

No. 17
NaInC after structural relaxation, computed with PBE.

Cell: 5.182 5.182 5.182 Å, 43.22 43.22 43.22°
Atoms (fractional coordinates):
Na  0.000  0.000  0.000
In  0.510  0.510  0.510
C  0.195  0.195  0.195

Results
raw total energy: -11.1 eV/f.u.
crystal system: trigonal
space group: No. 160

---

No. 18
Li5HgP2 after structural relaxation, computed with PBE.

Cell: 4.413 4.413 16.448 Å, 90.00 90.00 120.00°
Atoms (fractional coordinates):
Li  0.000  0.000  0.132
Li  0.000  0.000  0.368
Li  0.000  0.000  0.632
Li  0.000  0.000  0.868
Li  0.333  0.667  0.054
Li  0.333  0.667  0.250
Li  0.333  0.667  0.446
Li  0.667  0.333  0.554
Li  0.667  0.333  0.750
Li  0.667  0.333  0.946
Hg  0.333  0.667  0.750
Hg  0.667  0.333  0.250
P  0.333  0.667  0.602
P  0.333  0.667  0.898
P  0.667  0.333  0.102
P  0.667  0.333  0.398

Results
raw total energy: -24.3 eV/f.u.
crystal system: hexagonal
space group: No. 194

---

No. 19
CeY2HoEr after structural relaxation, computed with PBE.

Cell: 6.086 6.636 8.059 Å, 90.00 90.00 90.00°
Atoms (fractional coordinates):
Ce  0.000  0.000  0.000
Ce  0.500  0.000  0.000
Y  0.250  0.261  0.318
Y  0.250  0.739  0.318
Y  0.750  0.261  0.682
Y  0.750  0.739  0.682
Ho  0.250  0.000  0.652
Ho  0.750  0.000  0.348
Er  0.250  0.500  0.872
Er  0.750  0.500  0.128

Results
raw total energy: -26.5 eV/f.u.
crystal system: orthorhombic
space group: No. 51

---

No. 20
SrHf3Pd after structural relaxation, computed with PBE.

Cell: 5.173 5.173 5.173 Å, 90.00 90.00 90.00°
Atoms (fractional coordinates):
Sr  0.000  0.000  0.000
Hf  0.000  0.500  0.500
Hf  0.500  0.000  0.500
Hf  0.500  0.500  0.000
Pd  0.500  0.500  0.500

Results
offset from the most stable computed form: 0.0000 eV/atom
crystal system: cubic
space group: No. 221